1.
Computed, not measured: a relaxed SrPuAg2Br8 crystal at the GGA-PBE level of DFT.

```
SrPuAg2Br8
1.0
6.999 -0.746 0.034
-0.773 7.283 1.062
0.062 1.410 8.865
Ag Br Sr Pu
2 8 1 1
Direct
0.471 0.659 0.316
0.529 0.341 0.684
0.876 0.211 0.174
0.364 0.236 0.970
0.124 0.789 0.826
0.900 0.243 0.714
0.636 0.764 0.030
0.405 0.259 0.425
0.100 0.757 0.286
0.595 0.741 0.575
0.000 0.000 0.500
0.000 0.000 0.000
```

- Symmetry: P-1 (2)
- Volume: 36.3 Å³/atom
- Uncorrected energy: -4.09 eV/atom

---

2.
Computed, not measured: a relaxed SrPuAgBr6 crystal at the GGA-PBE level of DFT.

```
SrPuAgBr6
1.0
6.956 0.000 0.000
0.000 6.956 0.000
0.000 0.000 13.346
Br Sr Pu Ag
12 2 2 2
Direct
0.294 0.294 0.325
0.801 0.199 0.175
0.301 0.301 0.675
0.699 0.699 0.675
0.812 0.188 0.501
0.794 0.206 0.825
0.188 0.812 0.501
0.688 0.688 0.001
0.206 0.794 0.825
0.199 0.801 0.175
0.312 0.312 0.001
0.706 0.706 0.325
0.000 0.000 0.998
0.500 0.500 0.498
0.500 0.500 0.833
0.000 0.000 0.333
0.500 0.500 0.169
0.000 0.000 0.669
```

- Symmetry: P4_2nm (102)
- Volume: 35.9 Å³/atom
- Uncorrected energy: -4.63 eV/atom

---

3.
Computed, not measured: a relaxed PuTl2AgBr6 crystal at the GGA-PBE level of DFT.

```
PuTl2AgBr6
1.0
7.622 0.000 -0.093
0.000 8.149 0.000
-0.056 0.000 11.002
Br Pu Tl Ag
12 2 4 2
Direct
0.895 0.526 0.248
0.812 0.799 0.548
0.395 0.974 0.748
0.105 0.474 0.752
0.695 0.305 0.551
0.688 0.299 0.952
0.805 0.805 0.949
0.305 0.695 0.449
0.188 0.201 0.452
0.195 0.195 0.051
0.605 0.026 0.252
0.312 0.701 0.048
0.000 0.500 0.500
0.500 0.000 0.000
0.029 0.920 0.247
0.529 0.580 0.747
0.971 0.080 0.753
0.471 0.420 0.253
0.000 0.500 0.000
0.500 0.000 0.500
```

- Symmetry: P2_1/c (14)
- Volume: 34.2 Å³/atom
- Uncorrected energy: -4.21 eV/atom

---

4.
Computed, not measured: a relaxed PuTlAgBr5 crystal at the GGA-PBE level of DFT.

```
PuTlAgBr5
1.0
-7.091 -3.636 -0.594
4.938 -3.457 -5.247
3.757 -3.335 9.583
Br Ag Pu Tl
10 2 2 2
Direct
0.371 0.257 0.058
0.629 0.743 0.942
0.743 0.629 0.442
0.919 0.081 0.750
0.322 0.919 0.602
0.678 0.081 0.398
0.081 0.919 0.250
0.257 0.371 0.558
0.081 0.678 0.898
0.919 0.322 0.102
0.692 0.308 0.250
0.308 0.692 0.750
0.000 0.000 0.000
0.000 0.000 0.500
0.354 0.646 0.250
0.646 0.354 0.750
```

- Symmetry: C2/c (15)
- Volume: 37.8 Å³/atom
- Uncorrected energy: -4.54 eV/atom

---

5.
Computed, not measured: a relaxed PuTlAgBr6 crystal at the GGA-PBE level of DFT.

```
PuTlAgBr6
1.0
7.274 0.000 0.000
-3.637 6.299 0.000
0.000 0.000 14.591
Pu Br Ag Tl
2 12 2 2
Direct
0.333 0.667 0.750
0.667 0.333 0.250
0.988 0.355 0.139
0.012 0.367 0.639
0.988 0.633 0.361
0.012 0.645 0.861
0.633 0.645 0.639
0.645 0.633 0.139
0.355 0.988 0.639
0.645 0.012 0.361
0.355 0.367 0.861
0.367 0.012 0.139
0.367 0.355 0.361
0.633 0.988 0.861
0.667 0.333 0.750
0.333 0.667 0.250
0.000 0.000 0.000
0.000 0.000 0.500
```

- Symmetry: P-31c (163)
- Volume: 37.1 Å³/atom
- Uncorrected energy: -4.28 eV/atom

---

6.
Computed, not measured: a relaxed Rb2Ag2Br crystal at the GGA-PBE level of DFT.

```
Rb2Ag2Br
1.0
-0.247 -2.161 -6.450
6.794 -0.402 -0.125
3.057 -5.378 -1.907
Ag Rb Br
2 2 1
Direct
0.655 0.655 0.690
0.345 0.345 0.310
0.750 0.250 0.500
0.250 0.750 0.500
0.000 0.000 0.000
```

- Symmetry: I4/mmm (139)
- Volume: 40.1 Å³/atom
- Uncorrected energy: -2.15 eV/atom